Entry 1:
Hf7MgZr12: relaxed, PBE-GGA.

Computed properties:
Total magnetic moment: 0.00 μB per formula unit
DFT total energy: -8.4676 eV per atom
Theoretical density: 8.46 g/cm³
Space-group type: R-3 (148)

a b c (Å): 7.7475 7.7475 7.7475
angles (deg): 89.26 89.26 89.26
Last column: nearest neighbours and their distance in Å.
Fractional positions:
Hf (0.0000, 0.0000, 0.0000)  6 Zr 2.94
Hf (0.1135, 0.3490, 0.4388)  3 Hf 3.06-3.17, 8 Zr 3.13-3.40, 1 Mg 3.27
Hf (0.3490, 0.4388, 0.1135)  3 Hf 3.06-3.17, 8 Zr 3.13-3.40, 1 Mg 3.27
Hf (0.4388, 0.1135, 0.3490)  3 Hf 3.06-3.17, 8 Zr 3.13-3.40, 1 Mg 3.27
Hf (0.5612, 0.8865, 0.6510)  3 Hf 3.06-3.17, 8 Zr 3.13-3.40, 1 Mg 3.27
Hf (0.6510, 0.5612, 0.8865)  3 Hf 3.06-3.17, 8 Zr 3.13-3.40, 1 Mg 3.27
Hf (0.8865, 0.6510, 0.5612)  3 Hf 3.06-3.17, 8 Zr 3.13-3.40, 1 Mg 3.27
Mg (0.5000, 0.5000, 0.5000)  6 Zr 3.10, 6 Hf 3.27
Zr (0.0078, 0.3565, 0.8666)  4 Zr 2.81-3.10, 1 Hf 2.94
Zr (0.1334, 0.9922, 0.6435)  4 Zr 2.81-3.10, 1 Hf 2.94
Zr (0.2269, 0.7673, 0.3755)  3 Zr 2.81-3.10, 1 Mg 3.10, 1 Hf 3.13
Zr (0.2327, 0.6245, 0.7731)  3 Zr 2.81-3.10, 1 Mg 3.10, 1 Hf 3.13
Zr (0.3565, 0.8666, 0.0078)  4 Zr 2.81-3.10, 1 Hf 2.94
Zr (0.3755, 0.2269, 0.7673)  3 Zr 2.81-3.10, 1 Mg 3.10, 1 Hf 3.13
Zr (0.6245, 0.7731, 0.2327)  3 Zr 2.81-3.10, 1 Mg 3.10, 1 Hf 3.13
Zr (0.6435, 0.1334, 0.9922)  4 Zr 2.81-3.10, 1 Hf 2.94
Zr (0.7673, 0.3755, 0.2269)  3 Zr 2.81-3.10, 1 Mg 3.10, 1 Hf 3.13
Zr (0.7731, 0.2327, 0.6245)  3 Zr 2.81-3.10, 1 Mg 3.10, 1 Hf 3.13
Zr (0.8666, 0.0078, 0.3565)  4 Zr 2.81-3.10, 1 Hf 2.94
Zr (0.9922, 0.6435, 0.1334)  4 Zr 2.81-3.10, 1 Hf 2.94



Entry 2:
LiGdTlBi: relaxed, PBE-GGA.

Computed properties:
Total magnetic moment: 7.03 μB per formula unit
DFT total energy: -5.9491 eV per atom
Theoretical density: 8.91 g/cm³
Space-group type: F-43m (216)

a b c (Å): 7.5524 7.5524 7.5524
angles (deg): 90.00 90.00 90.00
Last column: nearest neighbours and their distance in Å.
Fractional positions:
Li (0.0000, 0.0000, 0.0000)  4 Bi 3.27, 4 Tl 3.27
Li (0.0000, 0.5000, 0.5000)  4 Bi 3.27, 4 Tl 3.27
Li (0.5000, 0.0000, 0.5000)  4 Bi 3.27, 4 Tl 3.27
Li (0.5000, 0.5000, 0.0000)  4 Bi 3.27, 4 Tl 3.27
Gd (0.0000, 0.0000, 0.5000)  4 Tl 3.27, 4 Bi 3.27
Gd (0.0000, 0.5000, 0.0000)  4 Tl 3.27, 4 Bi 3.27
Gd (0.5000, 0.0000, 0.0000)  4 Tl 3.27, 4 Bi 3.27
Gd (0.5000, 0.5000, 0.5000)  4 Tl 3.27, 4 Bi 3.27
Tl (0.2500, 0.2500, 0.2500)  4 Li 3.27, 4 Gd 3.27
Tl (0.2500, 0.7500, 0.7500)  4 Li 3.27, 4 Gd 3.27
Tl (0.7500, 0.2500, 0.7500)  4 Li 3.27, 4 Gd 3.27
Tl (0.7500, 0.7500, 0.2500)  4 Li 3.27, 4 Gd 3.27
Bi (0.2500, 0.2500, 0.7500)  4 Gd 3.27, 4 Li 3.27
Bi (0.2500, 0.7500, 0.2500)  4 Gd 3.27, 4 Li 3.27
Bi (0.7500, 0.2500, 0.2500)  4 Gd 3.27, 4 Li 3.27
Bi (0.7500, 0.7500, 0.7500)  4 Gd 3.27, 4 Li 3.27



Entry 3:
Rb3LiIn4: relaxed, PBE-GGA.

Computed properties:
Total magnetic moment: 0.00 μB per formula unit
DFT total energy: -1.9971 eV per atom
Theoretical density: 3.59 g/cm³
Space-group type: Pmmn (59)

a b c (Å): 6.3903 14.8251 7.0516
angles (deg): 90.00 90.00 90.00
Last column: nearest neighbours and their distance in Å.
Fractional positions:
Rb (0.2500, 0.0064, 0.2032)  1 Li 3.70, 3 In 3.93-3.96
Rb (0.2500, 0.4936, 0.2032)  1 Li 3.70, 3 In 3.93-3.96
Rb (0.2500, 0.7500, 0.5277)  2 Li 3.37
Rb (0.7500, 0.2500, 0.4723)  2 Li 3.37
Rb (0.7500, 0.5064, 0.7968)  1 Li 3.70, 3 In 3.93-3.96
Rb (0.7500, 0.9936, 0.7968)  1 Li 3.70, 3 In 3.93-3.96
Li (0.2500, 0.2500, 0.3195)  4 In 2.97-3.02
Li (0.7500, 0.7500, 0.6805)  4 In 2.97-3.02
In (0.0175, 0.7500, 0.0242)  1 Li 2.97, 3 In 2.97-3.13
In (0.2500, 0.1420, 0.6820)  1 Li 3.02, 3 In 3.13-3.20
In (0.2500, 0.3580, 0.6820)  1 Li 3.02, 3 In 3.13-3.20
In (0.4825, 0.7500, 0.0242)  1 Li 2.97, 3 In 2.97-3.13
In (0.5175, 0.2500, 0.9758)  1 Li 2.97, 3 In 2.97-3.13
In (0.7500, 0.6420, 0.3180)  1 Li 3.02, 3 In 3.13-3.20
In (0.7500, 0.8580, 0.3180)  1 Li 3.02, 3 In 3.13-3.20
In (0.9825, 0.2500, 0.9758)  1 Li 2.97, 3 In 2.97-3.13



Entry 4:
Ca2Cu2Hg: relaxed, PBE-GGA.

Computed properties:
Total magnetic moment: 0.00 μB per formula unit
Relative energy among the computed polymorphs: 0.369 eV per formula unit
DFT total energy: -2.6623 eV per atom
Theoretical density: 5.90 g/cm³
Space-group type: I4/mmm (139)

a b c (Å): 3.5645 3.5645 18.0779
angles (deg): 90.00 90.00 90.00
Last column: nearest neighbours and their distance in Å.
Fractional positions:
Ca (0.0000, 0.0000, 0.1141)  4 Cu 3.04, 4 Hg 3.26
Ca (0.0000, 0.0000, 0.8859)  4 Cu 3.04, 4 Hg 3.26
Ca (0.5000, 0.5000, 0.3859)  4 Cu 3.04, 4 Hg 3.26
Ca (0.5000, 0.5000, 0.6141)  4 Cu 3.04, 4 Hg 3.26
Cu (0.0000, 0.5000, 0.2500)  4 Cu 2.52
Cu (0.0000, 0.5000, 0.7500)  4 Cu 2.52
Cu (0.5000, 0.0000, 0.2500)  4 Cu 2.52
Cu (0.5000, 0.0000, 0.7500)  4 Cu 2.52
Hg (0.0000, 0.0000, 0.5000)  8 Ca 3.26, 4 Hg 3.56
Hg (0.5000, 0.5000, 0.0000)  8 Ca 3.26, 4 Hg 3.56



Entry 5:
Sb2As: relaxed, PBE-GGA.

Computed properties:
Total magnetic moment: 0.00 μB per formula unit
Relative energy among the computed polymorphs: 0.384 eV per formula unit
DFT total energy: -4.1036 eV per atom
Theoretical density: 6.61 g/cm³
Space-group type: Cm (8)

a b c (Å): 11.6981 3.8042 7.6122
angles (deg): 90.00 109.29 90.00
Last column: nearest neighbours and their distance in Å.
Fractional positions:
Sb (0.0000, 0.0000, 0.0000)  2 As 2.91, 4 Sb 3.22-3.26
Sb (0.0181, 0.0000, 0.5874)  2 As 2.81, 2 Sb 3.14
Sb (0.2341, 0.5000, 0.0497)  2 As 2.86
Sb (0.2939, 0.0000, 0.4309)  3 As 2.97-2.98, 2 Sb 3.14
Sb (0.5000, 0.5000, 0.0000)  2 As 2.91, 4 Sb 3.22-3.26
Sb (0.5181, 0.5000, 0.5874)  2 As 2.81, 2 Sb 3.14
Sb (0.7341, 0.0000, 0.0497)  2 As 2.86
Sb (0.7939, 0.5000, 0.4309)  3 As 2.97-2.98, 2 Sb 3.14
As (0.0880, 0.5000, 0.3710)  4 Sb 2.81-2.98
As (0.3075, 0.0000, 0.8280)  5 Sb 2.86-2.97
As (0.5880, 0.0000, 0.3710)  4 Sb 2.81-2.98
As (0.8075, 0.5000, 0.8280)  5 Sb 2.86-2.97



Entry 6:
Ac2ZnCu: relaxed, PBE-GGA.

Computed properties:
Total magnetic moment: 0.00 μB per formula unit
DFT total energy: -2.9834 eV per atom
Theoretical density: 7.01 g/cm³
Space-group type: R-3m (166)

a b c (Å): 3.8621 3.8621 32.0766
angles (deg): 90.00 90.00 120.00
Last column: nearest neighbours and their distance in Å.
Fractional positions:
Ac (0.0000, 0.0000, 0.0925)  1 Cu 2.97, 3 Zn 3.26
Ac (0.0000, 0.0000, 0.9075)  1 Cu 2.97, 3 Zn 3.26
Ac (0.3333, 0.6667, 0.5742)  1 Cu 2.97, 3 Zn 3.26
Ac (0.3333, 0.6667, 0.7591)  1 Cu 2.97, 3 Zn 3.26
Ac (0.6667, 0.3333, 0.2409)  1 Cu 2.97, 3 Zn 3.26
Ac (0.6667, 0.3333, 0.4258)  1 Cu 2.97, 3 Zn 3.26
Zn (0.0000, 0.0000, 0.5000)  6 Ac 3.26
Zn (0.3333, 0.6667, 0.1667)  6 Ac 3.26
Zn (0.6667, 0.3333, 0.8333)  6 Ac 3.26
Cu (0.0000, 0.0000, 0.0000)  2 Ac 2.97
Cu (0.3333, 0.6667, 0.6667)  2 Ac 2.97
Cu (0.6667, 0.3333, 0.3333)  2 Ac 2.97